Computed, not measured: a geometry-optimized RbZn2GeRh structure at the PBE level of DFT.

Cell lengths 5.026, 5.026, 4.710 Å; angles 90.00, 90.00, 90.00 degrees
Fractional coordinates of all 5 atoms:
Rb 0.000 0.000 0.000
Zn 0.000 0.500 0.500
Zn 0.500 0.000 0.500
Ge 0.500 0.500 0.000
Rh 0.500 0.500 0.500

## Properties
Uncorrected energy: -3.2682 eV/atom
ΔE_f: -0.17 eV per atom
Total magnetic moment: 0.00 μB per cell